The following is a PBE with a Hubbard U calculation of a geometry-optimized PrVF structure, from Alexandria via LeMat-Bulk.

Cell and atoms, written as extended XYZ:
```
6
Lattice="6.550 -1.977 0.000 6.550 1.977 0.000 -1.189 0.000 5.373" Properties=species:S:1:pos:R:3 pbc="T T T"
Pr 1.079 0.000 1.641
Pr 10.832 0.000 3.733
V 5.089 0.000 1.068
V 6.822 0.000 4.306
F 3.477 0.000 2.441
F 8.435 0.000 2.932
```

Calculated values
Electronic total energy, eV/atom: -5.72
Magnetization, μB per atom: 1.21